1.
A relaxed structure of Rb3Na3ZnF8, computed with PBE-GGA.

a b c (Å): 7.496 7.496 7.496
angles (deg): 55.66 55.66 55.66
Positions (direct):
Rb  0.000  0.500  0.500
Rb  0.500  0.000  0.500
Rb  0.500  0.500  0.000
Na  0.000  0.000  0.500
Na  0.000  0.500  0.000
Na  0.500  0.000  0.000
Zn  0.500  0.500  0.500
F  0.233  0.233  0.233
F  0.268  0.707  0.707
F  0.293  0.293  0.732
F  0.293  0.732  0.293
F  0.707  0.268  0.707
F  0.707  0.707  0.268
F  0.732  0.293  0.293
F  0.767  0.767  0.767

uncorrected energy = -4.1395 eV/atom
V = 17.860 Å³/atom
crystal system = trigonal
mass density = 3.36 g/cm³

=====

2.
A relaxed structure of RbNa2ZnF6, computed with PBE-GGA.

a b c (Å): 6.981 6.981 7.767
angles (deg): 109.95 109.95 95.62
Positions (direct):
Rb  0.134  0.866  0.750
Rb  0.866  0.134  0.250
Na  0.306  0.392  0.794
Na  0.392  0.306  0.294
Na  0.608  0.694  0.706
Na  0.694  0.608  0.206
Zn  0.243  0.757  0.250
Zn  0.757  0.243  0.750
F  0.030  0.788  0.352
F  0.206  0.465  0.089
F  0.212  0.970  0.148
F  0.266  0.492  0.523
F  0.465  0.206  0.589
F  0.492  0.266  0.023
F  0.508  0.734  0.977
F  0.535  0.794  0.411
F  0.734  0.508  0.477
F  0.788  0.030  0.852
F  0.794  0.535  0.911
F  0.970  0.212  0.648

uncorrected energy = -3.9009 eV/atom
V = 16.224 Å³/atom
crystal system = monoclinic
mass density = 3.18 g/cm³

=====

3.
A relaxed structure of RbNa2ZrF8, computed with PBE-GGA.

a b c (Å): 5.083 5.265 7.868
angles (deg): 89.77 89.44 89.85
Positions (direct):
Rb  0.000  0.000  0.000
Na  0.499  0.500  0.716
Na  0.501  0.500  0.284
Zr  0.000  0.000  0.500
F  0.209  0.827  0.689
F  0.214  0.832  0.310
F  0.260  0.297  0.501
F  0.316  0.442  0.002
F  0.684  0.558  0.998
F  0.740  0.703  0.499
F  0.786  0.168  0.690
F  0.791  0.173  0.311

uncorrected energy = -5.2358 eV/atom
V = 17.547 Å³/atom
crystal system = triclinic
mass density = 2.95 g/cm³

=====

4.
A relaxed structure of Na2ReF, computed with PBE-GGA.

a b c (Å): 6.185 6.185 6.185
angles (deg): 112.87 112.87 102.86
Positions (direct):
Na  0.006  0.625  0.881
Na  0.375  0.256  0.381
Na  0.744  0.125  0.119
Na  0.875  0.994  0.619
Re  0.250  0.750  0.500
Re  0.500  0.500  0.000
F  0.000  0.000  0.000
F  0.750  0.250  0.500

V = 22.547 Å³/atom
crystal system = tetragonal
mass density = 4.62 g/cm³
energy above the lowest structure with this stoichiometry = 0.0 meV/atom

=====

5.
A relaxed structure of NaRe2F8, computed with PBE-GGA.

a b c (Å): 4.166 6.964 6.978
angles (deg): 60.09 89.83 89.97
Positions (direct):
Na  0.000  0.000  0.000
Re  0.248  0.333  0.334
Re  0.752  0.667  0.666
F  0.251  0.177  0.174
F  0.251  0.650  0.176
F  0.252  0.174  0.650
F  0.252  0.667  0.666
F  0.748  0.333  0.334
F  0.748  0.826  0.350
F  0.749  0.350  0.824
F  0.749  0.823  0.826

uncorrected energy = -5.3924 eV/atom
V = 15.953 Å³/atom
crystal system = triclinic
mass density = 5.18 g/cm³

=====

6.
A relaxed structure of NaReF2, computed with PBE-GGA.

a b c (Å): 7.185 7.185 7.185
angles (deg): 22.58 22.58 22.58
Positions (direct):
Na  0.000  0.000  0.000
Re  0.500  0.500  0.500
F  0.402  0.402  0.402
F  0.598  0.598  0.598

V = 11.992 Å³/atom
crystal system = trigonal
mass density = 8.56 g/cm³
energy above the lowest structure with this stoichiometry = 0.0 meV/atom

=====

7.
A relaxed structure of Na3ReF, computed with PBE-GGA.

a b c (Å): 5.863 5.863 5.863
angles (deg): 90.00 90.00 90.00
Positions (direct):
Na  0.000  0.000  0.500
Na  0.000  0.500  0.000
Na  0.500  0.000  0.000
Re  0.000  0.000  0.000
F  0.500  0.500  0.500

V = 40.302 Å³/atom
crystal system = cubic
mass density = 2.26 g/cm³
energy above the lowest structure with this stoichiometry = 792.5 meV/atom

=====

8.
A relaxed structure of Na3ReF, computed with PBE-GGA.

a b c (Å): 4.697 4.697 4.697
angles (deg): 90.00 90.00 90.00
Positions (direct):
Na  0.000  0.000  0.500
Na  0.000  0.500  0.000
Na  0.500  0.000  0.000
Re  0.500  0.500  0.500
F  0.000  0.000  0.000

V = 20.725 Å³/atom
crystal system = cubic
mass density = 4.39 g/cm³
energy above the lowest structure with this stoichiometry = 0.0 meV/atom

=====

9.
A relaxed structure of NaReF6, computed with PBE-GGA.

a b c (Å): 5.159 5.159 5.364
angles (deg): 95.87 95.87 115.36
Positions (direct):
Na  0.000  0.000  0.000
Re  0.500  0.500  0.500
F  0.159  0.456  0.280
F  0.260  0.260  0.713
F  0.456  0.159  0.280
F  0.544  0.841  0.720
F  0.740  0.740  0.287
F  0.841  0.544  0.720

uncorrected energy = -5.4449 eV/atom
V = 15.823 Å³/atom
crystal system = monoclinic
mass density = 4.24 g/cm³

=====

10.
A relaxed structure of NaReF2, computed with PBE-GGA.

a b c (Å): 8.286 8.286 8.286
angles (deg): 19.00 19.00 19.00
Positions (direct):
Na  0.000  0.000  0.000
Re  0.500  0.500  0.500
F  0.084  0.084  0.084
F  0.916  0.916  0.916

V = 13.171 Å³/atom
crystal system = trigonal
mass density = 7.79 g/cm³
energy above the lowest structure with this stoichiometry = 961.9 meV/atom

=====

11.
A relaxed structure of NaReF2, computed with PBE-GGA.

a b c (Å): 5.678 5.678 5.678
angles (deg): 123.60 123.60 83.86
Positions (direct):
Na  0.000  0.000  0.000
Na  0.750  0.250  0.500
Re  0.250  0.750  0.500
Re  0.500  0.500  0.000
F  0.104  0.625  0.979
F  0.375  0.354  0.479
F  0.646  0.125  0.021
F  0.875  0.896  0.521

V = 15.204 Å³/atom
crystal system = tetragonal
mass density = 6.75 g/cm³
energy above the lowest structure with this stoichiometry = 1126.8 meV/atom

=====

12.
A relaxed structure of Na2ReF, computed with PBE-GGA.

a b c (Å): 5.042 5.042 5.042
angles (deg): 60.00 60.00 60.00
Positions (direct):
Na  0.250  0.250  0.250
Na  0.750  0.750  0.750
Re  0.000  0.000  0.000
F  0.500  0.500  0.500

V = 22.656 Å³/atom
crystal system = cubic
mass density = 4.60 g/cm³
energy above the lowest structure with this stoichiometry = 442.4 meV/atom

=====

13.
A relaxed structure of NaReF2, computed with PBE-GGA.

a b c (Å): 4.520 4.520 4.520
angles (deg): 60.00 60.00 60.00
Positions (direct):
Na  0.000  0.000  0.000
Re  0.500  0.500  0.500
F  0.250  0.250  0.250
F  0.750  0.750  0.750

V = 16.328 Å³/atom
crystal system = cubic
mass density = 6.28 g/cm³
energy above the lowest structure with this stoichiometry = 1381.3 meV/atom

=====

14.
A relaxed structure of NaReSb2F, computed with PBE-GGA.

a b c (Å): 5.317 5.317 4.121
angles (deg): 90.00 90.00 90.00
Positions (direct):
Na  0.000  0.000  0.000
Re  0.500  0.500  0.500
Sb  0.000  0.500  0.500
Sb  0.500  0.000  0.500
F  0.500  0.500  0.000

uncorrected energy = -4.9163 eV/atom
V = 23.300 Å³/atom
crystal system = tetragonal
mass density = 6.72 g/cm³

=====

15.
A relaxed structure of Na2TaReF, computed with PBE-GGA.

a b c (Å): 6.092 6.092 3.951
angles (deg): 90.00 90.00 90.00
Positions (direct):
Na  0.000  0.500  0.000
Na  0.500  0.000  0.000
Ta  0.000  0.000  0.000
Re  0.500  0.500  0.500
F  0.000  0.000  0.500

uncorrected energy = -4.4076 eV/atom
V = 29.326 Å³/atom
crystal system = tetragonal
mass density = 4.89 g/cm³

=====

16.
A relaxed structure of NaYReF2, computed with PBE-GGA.

a b c (Å): 4.228 4.228 5.667
angles (deg): 90.00 90.00 90.00
Positions (direct):
Na  0.000  0.000  0.000
Y  0.500  0.500  0.000
Re  0.000  0.000  0.500
F  0.000  0.500  0.500
F  0.500  0.000  0.500

uncorrected energy = -4.7267 eV/atom
V = 20.257 Å³/atom
crystal system = tetragonal
mass density = 5.51 g/cm³

=====

17.
A relaxed structure of Na2ZnReF, computed with PBE-GGA.

a b c (Å): 5.482 5.482 4.846
angles (deg): 90.00 90.00 90.00
Positions (direct):
Na  0.000  0.500  0.000
Na  0.500  0.000  0.000
Zn  0.000  0.000  0.000
Re  0.000  0.000  0.500
F  0.500  0.500  0.500

uncorrected energy = -3.0339 eV/atom
V = 29.126 Å³/atom
crystal system = tetragonal
mass density = 3.61 g/cm³

=====

18.
A relaxed structure of NaRh2F11, computed with PBE-GGA.

a b c (Å): 8.309 8.309 8.309
angles (deg): 113.98 112.88 101.82
Positions (direct):
Na  0.250  0.250  0.000
Na  0.750  0.750  0.000
Rh  0.157  0.656  0.814
Rh  0.343  0.156  0.499
Rh  0.657  0.844  0.501
Rh  0.843  0.344  0.186
F  0.000  0.500  0.500
F  0.072  0.364  0.180
F  0.111  0.925  0.291
F  0.133  0.425  0.814
F  0.184  0.892  0.820
F  0.198  0.299  0.497
F  0.302  0.799  0.101
F  0.316  0.136  0.708
F  0.367  0.180  0.291
F  0.389  0.680  0.814
F  0.428  0.608  0.292
F  0.500  0.000  0.500
F  0.572  0.392  0.708
F  0.611  0.320  0.186
F  0.633  0.820  0.709
F  0.684  0.864  0.292
F  0.698  0.201  0.899
F  0.802  0.701  0.503
F  0.816  0.108  0.180
F  0.867  0.575  0.186
F  0.889  0.075  0.709
F  0.928  0.636  0.820

uncorrected energy = -4.1857 eV/atom
V = 15.560 Å³/atom
crystal system = orthorhombic
mass density = 3.34 g/cm³

=====

19.
A relaxed structure of Na4Rh2F9, computed with PBE-GGA.

a b c (Å): 5.576 5.601 15.586
angles (deg): 89.93 88.86 60.64
Positions (direct):
Na  0.144  0.179  0.182
Na  0.161  0.161  0.482
Na  0.167  0.164  0.974
Na  0.170  0.168  0.678
Na  0.830  0.832  0.322
Na  0.833  0.836  0.026
Na  0.839  0.839  0.518
Na  0.856  0.821  0.818
Rh  0.477  0.511  0.153
Rh  0.491  0.505  0.343
Rh  0.509  0.495  0.657
Rh  0.523  0.489  0.847
F  0.153  0.794  0.222
F  0.168  0.860  0.592
F  0.175  0.518  0.414
F  0.190  0.777  0.914
F  0.209  0.459  0.082
F  0.258  0.464  0.760
F  0.455  0.822  0.082
F  0.477  0.209  0.586
F  0.481  0.236  0.243
F  0.519  0.764  0.757
F  0.523  0.791  0.414
F  0.545  0.178  0.918
F  0.742  0.536  0.240
F  0.791  0.541  0.918
F  0.810  0.223  0.086
F  0.825  0.482  0.586
F  0.832  0.140  0.408
F  0.847  0.206  0.778

uncorrected energy = -4.5274 eV/atom
V = 14.139 Å³/atom
crystal system = triclinic
mass density = 3.67 g/cm³

=====

20.
A relaxed structure of Na2RhF7, computed with PBE-GGA.

a b c (Å): 7.139 7.139 8.990
angles (deg): 125.73 125.73 51.28
Positions (direct):
Na  0.120  0.270  0.285
Na  0.270  0.120  0.785
Na  0.730  0.880  0.215
Na  0.880  0.730  0.715
Rh  0.370  0.630  0.250
Rh  0.630  0.370  0.750
F  0.054  0.946  0.250
F  0.142  0.536  0.221
F  0.240  0.575  0.972
F  0.252  0.509  0.625
F  0.425  0.760  0.528
F  0.464  0.858  0.279
F  0.491  0.748  0.875
F  0.509  0.252  0.125
F  0.536  0.142  0.721
F  0.575  0.240  0.472
F  0.748  0.491  0.375
F  0.760  0.425  0.028
F  0.858  0.464  0.779
F  0.946  0.054  0.750

uncorrected energy = -4.2040 eV/atom
V = 13.615 Å³/atom
crystal system = monoclinic
mass density = 3.44 g/cm³